<w>
First-principles (GGA-PBE) data for an optimized crystal structure of Li2CuRu, as listed in the Alexandria database.

Output
**Magnetic moment**: 0.6 μB per cell
**D(E_F)**: 9.87 states/eV per cell

Lattice parameters (Å, degrees): 2.6335 2.6335 26.7763 90.00 90.00 120.00
Space group R-3m (No. 166, hexagonal axes)
One atom of each set of equivalent atoms:
Li: 0.0000 0.0000 0.2502 [6 per cell]
Cu: 0.0000 0.0000 0.5000 [3 per cell]
Ru: 0.0000 0.0000 0.0000 [3 per cell]

---

<x>
First-principles (GGA-PBE) data for an optimized crystal structure of Li2CuRu, as listed in the Alexandria database.

Output
**Magnetic moment**: 0.1 μB per cell
**D(E_F)**: 2.15 states/eV per cell

Lattice parameters (Å, degrees): 2.481 4.436 4.744 90.00 92.78 90.00
Space group P2/m (No. 10)
One atom of each set of equivalent atoms:
Li: 0.194 0.000 0.239 [2 per cell]
Cu: 0.000 0.500 0.500 [1 per cell]
Ru: 0.500 0.500 0.000 [1 per cell]

---

Short version: <x> is the most stable of them.

---

<w>
First-principles (GGA-PBE) data for an optimized crystal structure of Li2CuRu, as listed in the Alexandria database.

Output
**Magnetic moment**: 0.0 μB per cell
**D(E_F)**: 2.66 states/eV per cell

Lattice parameters (Å, degrees): 2.515 2.515 8.377 90.00 90.00 90.00
Space group P4/mmm (No. 123)
One atom of each set of equivalent atoms:
Li: 0.000 0.000 0.246 [2 per cell]
Cu: 0.500 0.500 0.000 [1 per cell]
Ru: 0.500 0.500 0.500 [1 per cell]

---

<x>
First-principles (GGA-PBE) data for an optimized crystal structure of Li2CuRu, as listed in the Alexandria database.

Output
**Magnetic moment**: 0.0 μB per cell
**D(E_F)**: 7.32 states/eV per cell

Lattice parameters (Å, degrees): 5.209 8.280 2.442 90.00 90.00 90.00
Space group Cmmm (No. 65)
One atom of each set of equivalent atoms:
Li: 0.250 0.250 0.000 [4 per cell]
Cu: 0.000 0.000 0.500 [2 per cell]
Ru: 0.000 0.500 0.500 [2 per cell]

---

Short version: <w> is the most stable of them.

---

<w>
First-principles (GGA-PBE) data for an optimized crystal structure of LiCu3Ru, as listed in the Alexandria database.

Output
**Magnetic moment**: 0.6 μB per cell
**D(E_F)**: 2.70 states/eV per cell

Lattice parameters (Å, degrees): 3.973 3.973 3.973 90.00 90.00 90.00
Space group Pm-3m (No. 221)
One atom of each set of equivalent atoms:
Li: 0.000 0.000 0.000 [1 per cell]
Cu: 0.000 0.000 0.500 [3 per cell]
Ru: 0.500 0.500 0.500 [1 per cell]

---

<x>
First-principles (GGA-PBE) data for an optimized crystal structure of LiCu3Ru, as listed in the Alexandria database.

Output
**Magnetic moment**: 1.8 μB per cell
**D(E_F)**: 3.55 states/eV per cell

Lattice parameters (Å, degrees): 4.682 4.682 4.682 90.00 90.00 90.00
Space group Pm-3m (No. 221)
One atom of each set of equivalent atoms:
Li: 0.000 0.000 0.000 [1 per cell]
Cu: 0.000 0.500 0.500 [3 per cell]
Ru: 0.500 0.500 0.500 [1 per cell]

---

Short version: <w> is the most stable of them.